(1)
Density functional theory data (PBE) for a relaxed Ho8Se3S4N crystal.

**Size of the total moment**: 0.0 Bohr magnetons per cell
**Formation energy without anion corrections**: -1.81 eV per atom
**SG**: R-3m (166)

Lattice parameters (Å, degrees): 7.7856 7.7856 7.7856 60.64 60.64 60.64
Sites, in units of the cell vectors:
Ho  0.2151  0.7739  0.7739
Ho  0.2261  0.2261  0.7849
Ho  0.2261  0.7849  0.2261
Ho  0.2426  0.2426  0.2426
Ho  0.7574  0.7574  0.7574
Ho  0.7739  0.2151  0.7739
Ho  0.7739  0.7739  0.2151
Ho  0.7849  0.2261  0.2261
Se  0.0000  0.5000  0.5000
Se  0.5000  0.0000  0.5000
Se  0.5000  0.5000  0.0000
S  0.0000  0.0000  0.5000
S  0.0000  0.5000  0.0000
S  0.5000  0.0000  0.0000
S  0.5000  0.5000  0.5000
N  0.0000  0.0000  0.0000

=====

(2)
Density functional theory data (PBE) for a relaxed Mg4TlHg crystal.

**Size of the total moment**: 0.0 Bohr magnetons per cell
**ΔH_f (0 K)**: -86.8 meV per atom
**SG**: C2/m (12)
**Energy above the lowest structure with this stoichiometry**: 0.0000 eV per atom

Lattice parameters (Å, degrees): 5.3990 5.3990 6.9173 109.21 109.21 46.41
Sites, in units of the cell vectors:
Mg  0.1638  0.1638  0.3221
Mg  0.1653  0.1653  0.8392
Mg  0.8347  0.8347  0.1608
Mg  0.8362  0.8362  0.6779
Tl  0.5000  0.5000  0.5000
Hg  0.5000  0.5000  0.0000

=====

(3)
Density functional theory data (PBE) for a relaxed As2Pd2Se crystal.

**Size of the total moment**: 0.0 Bohr magnetons per cell
**Formation energy without anion corrections**: -0.05 eV per atom
**SG**: P4/mbm (127)

Lattice parameters (Å, degrees): 7.3471 7.3471 3.3527 90.00 90.00 90.00
Sites, in units of the cell vectors:
As  0.1447  0.3553  0.0000
As  0.3553  0.8553  0.0000
As  0.6447  0.1447  0.0000
As  0.8553  0.6447  0.0000
Pd  0.1376  0.6376  0.5000
Pd  0.3624  0.1376  0.5000
Pd  0.6376  0.8624  0.5000
Pd  0.8624  0.3624  0.5000
Se  0.0000  0.0000  0.5000
Se  0.5000  0.5000  0.5000

=====

(4)
Density functional theory data (PBE) for a relaxed TbSm5Y12 crystal.

**Size of the total moment**: 0.0 Bohr magnetons per cell
**ΔH_f (0 K)**: 20.5 meV per atom
**SG**: P2/m (10)

Lattice parameters (Å, degrees): 10.7479 5.0730 10.7639 90.00 90.11 90.00
Sites, in units of the cell vectors:
Tb  0.0000  0.0000  0.0000
Sm  0.1662  0.5000  0.8338
Sm  0.3333  0.0000  0.6667
Sm  0.5000  0.5000  0.5000
Sm  0.6667  0.0000  0.3333
Sm  0.8338  0.5000  0.1662
Y  0.0001  0.0000  0.3328
Y  0.9999  0.0000  0.6672
Y  0.1662  0.5000  0.1661
Y  0.1662  0.5000  0.4998
Y  0.3328  0.0000  0.0000
Y  0.3330  0.0000  0.3330
Y  0.4998  0.5000  0.1662
Y  0.5002  0.5000  0.8338
Y  0.6672  0.0000  0.0000
Y  0.6670  0.0000  0.6670
Y  0.8338  0.5000  0.5002
Y  0.8338  0.5000  0.8339

=====

(5)
Density functional theory data (PBE) for a relaxed InAg2N crystal.

**Size of the total moment**: 0.0 Bohr magnetons per cell
**Formation energy without anion corrections**: 0.70 eV per atom
**SG**: I-42d (122)
**Energy above the lowest structure with this stoichiometry**: 0.0000 eV per atom

Lattice parameters (Å, degrees): 7.1541 7.1541 7.1541 134.98 134.98 65.56
Sites, in units of the cell vectors:
In  0.0000  0.0000  0.0000
In  0.7500  0.2500  0.5000
Ag  0.2983  0.6250  0.1733
Ag  0.3750  0.5483  0.6733
Ag  0.4517  0.1250  0.8267
Ag  0.8750  0.7017  0.3267
N  0.2500  0.7500  0.5000
N  0.5000  0.5000  0.0000

=====

(6)
Density functional theory data (PBE) for a relaxed K4Np3VSe8 crystal.

**Size of the total moment**: 14.0 Bohr magnetons per cell
**Formation energy without anion corrections**: -1.16 eV per atom
**SG**: R-3m (166)

Lattice parameters (Å, degrees): 9.0656 9.0656 9.0656 54.42 54.42 54.42
Sites, in units of the cell vectors:
K  0.0000  0.0000  0.0000
K  0.0000  0.5000  0.5000
K  0.5000  0.0000  0.5000
K  0.5000  0.5000  0.0000
Np  0.0000  0.0000  0.5000
Np  0.0000  0.5000  0.0000
Np  0.5000  0.0000  0.0000
V  0.5000  0.5000  0.5000
Se  0.2365  0.2365  0.2365
Se  0.2483  0.7256  0.7256
Se  0.2744  0.2744  0.7517
Se  0.2744  0.7517  0.2744
Se  0.7256  0.2483  0.7256
Se  0.7256  0.7256  0.2483
Se  0.7517  0.2744  0.2744
Se  0.7635  0.7635  0.7635

=====

(7)
Density functional theory data (PBE) for a relaxed NdGeSb2 crystal.

**Size of the total moment**: 0.0 Bohr magnetons per cell
**Formation energy without anion corrections**: -0.43 eV per atom
**SG**: P4/mmm (123)
**Energy above the lowest structure with this stoichiometry**: 0.0000 eV per atom

Lattice parameters (Å, degrees): 4.7188 4.7188 4.6513 90.00 90.00 90.00
Sites, in units of the cell vectors:
Nd  0.0000  0.0000  0.0000
Ge  0.5000  0.5000  0.0000
Sb  0.0000  0.5000  0.5000
Sb  0.5000  0.0000  0.5000

=====

(8)
Density functional theory data (PBE) for a relaxed CsPrAgSe2 crystal.

**Size of the total moment**: 0.0 Bohr magnetons per cell
**Formation energy without anion corrections**: -1.05 eV per atom
**SG**: P2/c (13)

Lattice parameters (Å, degrees): 8.3957 5.1309 8.5463 90.00 97.79 90.00
Sites, in units of the cell vectors:
Cs  0.0000  0.1237  0.2500
Cs  0.0000  0.8763  0.7500
Pr  0.5000  0.4943  0.7500
Pr  0.5000  0.5057  0.2500
Ag  0.5000  0.0000  0.0000
Ag  0.5000  0.0000  0.5000
Se  0.2704  0.3698  0.9707
Se  0.2704  0.6302  0.4707
Se  0.7296  0.3698  0.5293
Se  0.7296  0.6302  0.0293

=====

(9)
Density functional theory data (PBE) for a relaxed Hf2CrAg crystal.

**Size of the total moment**: 0.0 Bohr magnetons per cell
**ΔH_f (0 K)**: 872.9 meV per atom
**SG**: I-42d (122)
**Energy above the lowest structure with this stoichiometry**: 0.8667 eV per atom

Lattice parameters (Å, degrees): 9.8260 9.8260 9.8260 155.79 155.79 34.50
Sites, in units of the cell vectors:
Hf  0.1133  0.6250  0.9883
Hf  0.3750  0.3633  0.4883
Hf  0.6367  0.1250  0.0117
Hf  0.8750  0.8867  0.5117
Cr  0.0000  0.0000  0.0000
Cr  0.7500  0.2500  0.5000
Ag  0.2500  0.7500  0.5000
Ag  0.5000  0.5000  0.0000

=====

(10)
Density functional theory data (PBE) for a relaxed PrSmGeSe crystal.

**Size of the total moment**: 0.0 Bohr magnetons per cell
**Formation energy without anion corrections**: -1.39 eV per atom
**SG**: R3m (160)

Lattice parameters (Å, degrees): 7.4385 7.4385 7.4385 33.31 33.31 33.31
Sites, in units of the cell vectors:
Pr  0.0000  0.0000  0.0000
Sm  0.5062  0.5062  0.5062
Ge  0.2516  0.2516  0.2516
Se  0.7553  0.7553  0.7553

=====

(11)
Density functional theory data (PBE) for a relaxed Sc2NiRu crystal.

**Size of the total moment**: 0.0 Bohr magnetons per cell
**ΔH_f (0 K)**: -374.8 meV per atom
**SG**: Imm2 (44)

Lattice parameters (Å, degrees): 5.4093 5.4093 5.4093 144.48 133.49 59.86
Sites, in units of the cell vectors:
Sc  0.0000  0.0000  0.0000
Sc  0.7251  0.2251  0.5000
Ni  0.2448  0.7448  0.5000
Ru  0.4799  0.4799  0.0000

=====

(12)
Density functional theory data (PBE) for a relaxed DyPuPt crystal.

**Size of the total moment**: 6.0 Bohr magnetons per cell
**ΔH_f (0 K)**: -454.3 meV per atom
**SG**: R3m (160)
**Energy above the lowest structure with this stoichiometry**: 0.1412 eV per atom

Lattice parameters (Å, degrees): 6.9380 6.9380 6.9380 31.86 31.86 31.86
Sites, in units of the cell vectors:
Dy  0.0000  0.0000  0.0000
Pu  0.8146  0.8146  0.8146
Pt  0.5766  0.5766  0.5766

=====

(13)
Density functional theory data (PBE) for a relaxed CaGa2Ge2 crystal.

**Size of the total moment**: 0.0 Bohr magnetons per cell
**ΔH_f (0 K)**: -150.2 meV per atom
**SG**: P4/mbm (127)

Lattice parameters (Å, degrees): 7.7850 7.7850 3.4087 90.00 90.00 90.00
Sites, in units of the cell vectors:
Ca  0.0000  0.0000  0.0000
Ca  0.5000  0.5000  0.0000
Ga  0.1243  0.3757  0.0000
Ga  0.3757  0.8757  0.0000
Ga  0.6243  0.1243  0.0000
Ga  0.8757  0.6243  0.0000
Ge  0.1670  0.6670  0.5000
Ge  0.3330  0.1670  0.5000
Ge  0.6670  0.8330  0.5000
Ge  0.8330  0.3330  0.5000

=====

(14)
Density functional theory data (PBE) for a relaxed HfScAs3 crystal.

**Size of the total moment**: 0.0 Bohr magnetons per cell
**ΔH_f (0 K)**: 341.6 meV per atom
**SG**: Pm-3m (221)
**Energy above the lowest structure with this stoichiometry**: 0.3697 eV per atom

Lattice parameters (Å, degrees): 4.9577 4.9577 4.9577 90.00 90.00 90.00
Sites, in units of the cell vectors:
Hf  0.0000  0.0000  0.0000
Sc  0.5000  0.5000  0.5000
As  0.0000  0.5000  0.5000
As  0.5000  0.0000  0.5000
As  0.5000  0.5000  0.0000

=====

(15)
Density functional theory data (PBE) for a relaxed MoAs crystal.

**Size of the total moment**: 0.0 Bohr magnetons per cell
**ΔH_f (0 K)**: -59.1 meV per atom
**SG**: Pmmn (59)

Lattice parameters (Å, degrees): 3.1571 11.5129 5.8829 90.00 90.00 90.00
Sites, in units of the cell vectors:
Mo  0.2500  0.1182  0.0073
Mo  0.2500  0.3818  0.0073
Mo  0.2500  0.7500  0.7083
Mo  0.7500  0.2500  0.2917
Mo  0.7500  0.6182  0.9927
Mo  0.7500  0.8818  0.9927
As  0.2500  0.2500  0.6544
As  0.2500  0.5295  0.6933
As  0.2500  0.9705  0.6933
As  0.7500  0.0295  0.3067
As  0.7500  0.4705  0.3067
As  0.7500  0.7500  0.3456

=====

(16)
Density functional theory data (PBE) for a relaxed Zr2Be15Pd2 crystal.

**Size of the total moment**: 0.0 Bohr magnetons per cell
**ΔH_f (0 K)**: -282.7 meV per atom
**SG**: R-3m (166)

Lattice parameters (Å, degrees): 5.8729 5.8729 5.8729 82.71 82.71 82.71
Sites, in units of the cell vectors:
Zr  0.1489  0.1489  0.1489
Zr  0.8511  0.8511  0.8511
Be  0.0000  0.5000  0.5000
Be  0.1560  0.1560  0.6650
Be  0.1560  0.6650  0.1560
Be  0.2119  0.5000  0.7882
Be  0.2119  0.7882  0.5000
Be  0.3350  0.8440  0.8440
Be  0.5000  0.0000  0.5000
Be  0.5000  0.2118  0.7882
Be  0.5000  0.5000  0.0000
Be  0.5000  0.7882  0.2118
Be  0.6650  0.1560  0.1560
Be  0.7882  0.2118  0.5000
Be  0.7882  0.5000  0.2118
Be  0.8440  0.3350  0.8440
Be  0.8440  0.8440  0.3350
Pd  0.3877  0.3877  0.3877
Pd  0.6123  0.6123  0.6123

=====

(17)
Density functional theory data (PBE) for a relaxed HoTh3Tl4 crystal.

**Size of the total moment**: 0.0 Bohr magnetons per cell
**ΔH_f (0 K)**: -189.4 meV per atom
**SG**: P4/mmm (123)
**Energy above the lowest structure with this stoichiometry**: 0.0000 eV per atom

Lattice parameters (Å, degrees): 3.5654 3.5654 18.0295 90.00 90.00 90.00
Sites, in units of the cell vectors:
Ho  0.0000  0.0000  0.0000
Th  0.0000  0.0000  0.2445
Th  0.0000  0.0000  0.5000
Th  0.0000  0.0000  0.7555
Tl  0.5000  0.5000  0.1169
Tl  0.5000  0.5000  0.3722
Tl  0.5000  0.5000  0.6278
Tl  0.5000  0.5000  0.8831

=====

(18)
Density functional theory data (PBE) for a relaxed Ti5InGa2 crystal.

**Size of the total moment**: 3.9 Bohr magnetons per cell
**ΔH_f (0 K)**: -253.8 meV per atom
**SG**: I4/mcm (140)

Lattice parameters (Å, degrees): 7.5717 7.5717 7.5717 125.17 125.17 81.25
Sites, in units of the cell vectors:
Ti  0.0000  0.0000  0.0000
Ti  0.0005  0.5005  0.1937
Ti  0.9995  0.4995  0.8063
Ti  0.1932  0.9995  0.5000
Ti  0.3068  0.8068  0.8063
Ti  0.5005  0.3068  0.5000
Ti  0.5000  0.5000  0.0000
Ti  0.4995  0.6932  0.5000
Ti  0.6932  0.1932  0.1937
Ti  0.8068  0.0005  0.5000
In  0.2500  0.2500  0.0000
In  0.7500  0.7500  0.0000
Ga  0.1431  0.3569  0.5000
Ga  0.3569  0.8569  0.2138
Ga  0.6431  0.1431  0.7862
Ga  0.8569  0.6431  0.5000

=====

(19)
Density functional theory data (PBE) for a relaxed CePm4Tm10 crystal.

**Size of the total moment**: 0.0 Bohr magnetons per cell
**ΔH_f (0 K)**: 266.2 meV per atom
**SG**: I4/mmm (139)

Lattice parameters (Å, degrees): 8.7975 8.7975 8.7975 101.67 101.67 126.54
Sites, in units of the cell vectors:
Ce  0.0000  0.0000  0.0000
Pm  0.2262  0.2262  0.4524
Pm  0.2262  0.7738  0.0000
Pm  0.7738  0.2262  0.0000
Pm  0.7738  0.7738  0.5476
Tm  0.0886  0.2947  0.7939
Tm  0.2500  0.7500  0.5000
Tm  0.2947  0.0886  0.7939
Tm  0.2947  0.5008  0.2061
Tm  0.4992  0.7053  0.7939
Tm  0.5008  0.2947  0.2061
Tm  0.7053  0.4992  0.7939
Tm  0.7053  0.9114  0.2061
Tm  0.7500  0.2500  0.5000
Tm  0.9114  0.7053  0.2061

=====

(20)
Density functional theory data (PBE) for a relaxed SrPdPb2 crystal.

**Size of the total moment**: 0.0 Bohr magnetons per cell
**ΔH_f (0 K)**: -51.3 meV per atom
**SG**: R-3m (166)

Lattice parameters (Å, degrees): 10.2243 10.2243 10.2243 22.55 22.55 22.55
Sites, in units of the cell vectors:
Sr  0.0000  0.0000  0.0000
Pd  0.5000  0.5000  0.5000
Pb  0.1129  0.1129  0.1129
Pb  0.8871  0.8871  0.8871

=====

(21)
Density functional theory data (PBE) for a relaxed ReSi2P3O15 crystal.

**Size of the total moment**: 0.0 Bohr magnetons per cell
**Formation energy without anion corrections**: -2.17 eV per atom
**SG**: P-1 (2)

Lattice parameters (Å, degrees): 8.0039 8.0162 11.0864 84.62 73.08 60.06
Sites, in units of the cell vectors:
Re  0.0258  0.2747  0.0799
Re  0.9742  0.7253  0.9201
Si  0.1795  0.6615  0.4724
Si  0.4333  0.0138  0.6514
Si  0.5667  0.9862  0.3486
Si  0.8205  0.3385  0.5276
P  0.0717  0.9740  0.6693
P  0.1807  0.3374  0.3275
P  0.3796  0.4124  0.6715
P  0.6204  0.5876  0.3285
P  0.8193  0.6626  0.6725
P  0.9283  0.0260  0.3307
O  0.0000  0.5000  0.0000
O  0.0326  0.0815  0.2070
O  0.0749  0.2491  0.4298
O  0.0929  0.8590  0.3763
O  0.1027  0.7759  0.9974
O  0.1226  0.3667  0.2055
O  0.1479  0.5267  0.3740
O  0.2069  0.0409  0.7058
O  0.2146  0.8035  0.5710
O  0.2542  0.5384  0.7930
O  0.2689  0.4606  0.5689
O  0.2711  0.1245  0.9967
O  0.4135  0.1826  0.2952
O  0.4255  0.5814  0.3754
O  0.4300  0.1983  0.7053
O  0.5000  0.0000  0.5000
O  0.5700  0.8017  0.2947
O  0.5745  0.4186  0.6246
O  0.5865  0.8174  0.7048
O  0.7289  0.8755  0.0033
O  0.7311  0.5394  0.4311
O  0.7458  0.4616  0.2070
O  0.7854  0.1965  0.4290
O  0.7931  0.9591  0.2942
O  0.8521  0.4733  0.6260
O  0.8774  0.6333  0.7945
O  0.8973  0.2241  0.0026
O  0.9071  0.1410  0.6237
O  0.9251  0.7509  0.5702
O  0.9674  0.9185  0.7930